Entry from the Alexandria database: a geometry-optimized CdMoRu2 structure (PBE).

E: -7.121 eV per atom
Spin magnetization: 1.0 μB per cell
Energy of formation from the pure elements: 0.45 eV/atom

Lattice parameters (Å, degrees): 2.741 2.741 9.499 90.00 90.00 115.74
Sites, in units of the cell vectors:
Cd 0.000 0.000 0.000
Mo 0.500 0.500 0.726
Ru 0.000 0.000 0.494
Ru 0.500 0.500 0.259